1.
TlAg PBE relaxed; VASP energy = -2.41 eV per atom; space-group type = P4_2/mnm; spin magnetization = 0.00 μB per formula unit; E_form = 4.6 kcal/mol of atoms; ρ = 10.1 g/cm3
1.0
5.810 0.000 0.000
0.000 5.810 0.000
0.000 0.000 6.076
Tl Ag
4 4
Cartesian
1.123 1.123 0.000
1.782 4.028 3.038
4.028 1.782 3.038
4.687 4.687 0.000
1.069 1.069 3.038
1.836 3.975 0.000
3.975 1.836 0.000
4.741 4.741 3.038

2.
NiSe2Br PBE relaxed; VASP energy = -3.47 eV per atom; uncorrected formation energy = 130.9 meV/atom; distance to the lowest polymorph of the same formula = 369 meV per atom; space-group type = Cmmm; spin magnetization = 0.00 μB per formula unit; ρ = 5.4 g/cm3
1.0
1.771 -2.387 0.000
1.771 2.387 0.000
0.000 0.000 10.738
Ni Se Br
1 2 1
Cartesian
0.000 0.000 0.000
1.771 0.000 1.646
1.771 0.000 9.092
0.000 0.000 5.369

3.
BiPAuS PBE relaxed; VASP energy = -4.14 eV per atom; uncorrected formation energy = 30.9 meV/atom; distance to the lowest polymorph of the same formula = 77 meV per atom; space-group type = P1; spin magnetization = 0.00 μB per formula unit; ρ = 7.3 g/cm3
1.0
4.666 0.000 0.000
1.503 4.798 0.000
1.363 1.465 4.746
Bi P Au S
1 1 1 1
Cartesian
0.000 0.000 0.000
3.858 1.881 1.917
1.543 2.619 2.001
5.417 5.244 3.502

Q: Look up the spin magnetization of the third one.
A: 0.00 μB per formula unit